# Tl2WS5 | Alexandria | GGA-PBE | relaxed
# Uncorrected formation energy = -0.28 eV per atom
# DOS(E_F) = 0.309 states/eV/atom
# E_tot = -5.07 eV/atom
data_Tl2WS5
_cell_length_a 5.1401
_cell_length_b 7.5195
_cell_length_c 7.8525
_cell_angle_alpha 114.53
_cell_angle_beta 90.06
_cell_angle_gamma 109.97
_space_group_name_H-M_alt 'P 1'
_space_group_IT_number 1
loop_
_space_group_symop_operation_xyz
'x,y,z'
loop_
_atom_site_label
_atom_site_fract_x
_atom_site_fract_y
_atom_site_fract_z
Tl1 0.0000 0.0000 0.0000
Tl2 0.3742 0.7494 0.4390
W1 0.1867 0.3750 0.8018
S1 0.0168 0.0344 0.6103
S2 0.4905 0.4233 0.0559
S3 0.5537 0.5497 0.6852
S4 0.9320 0.4230 0.0559
S5 0.9936 0.5488 0.6843



# LuIrAu | Alexandria | GGA-PBE | relaxed
# DOS(E_F) = 0.763 states/eV/atom
# E_tot = -6.07 eV/atom
# Energy of formation = -0.5209 eV/atom
data_LuIrAu
_cell_length_a 3.4971
_cell_length_b 3.4971
_cell_length_c 9.2789
_cell_angle_alpha 90.00
_cell_angle_beta 90.00
_cell_angle_gamma 90.00
_space_group_name_H-M_alt 'I 4 m m'
_space_group_IT_number 107
_space_group_name_Hall 'I 4 -2'
loop_
_atom_site_label
_atom_site_fract_x
_atom_site_fract_y
_atom_site_fract_z
Lu1 0.0000 0.0000 0.0000
Ir1 0.0000 0.0000 0.6545
Au1 0.0000 0.0000 0.3240



# Mn2CdCl | Alexandria | GGA-PBE | relaxed
# Uncorrected formation energy = 0.30 eV per atom
# DOS(E_F) = 0.638 states/eV/atom
# E_tot = -4.98 eV/atom
# Energy above the most stable polymorph in this dataset = 0.2928 eV per atom
data_Mn2CdCl
_cell_length_a 4.8322
_cell_length_b 3.1174
_cell_length_c 5.4122
_cell_angle_alpha 90.00
_cell_angle_beta 112.18
_cell_angle_gamma 90.00
_space_group_name_H-M_alt 'P 1 2/m 1'
_space_group_IT_number 10
loop_
_space_group_symop_operation_xyz
'x,y,z'
'-x,-y,-z'
'-x,y,-z'
'x,-y,z'
loop_
_atom_site_label
_atom_site_fract_x
_atom_site_fract_y
_atom_site_fract_z
Mn1 0.0000 0.0000 0.0000
Mn2 0.0000 0.5000 0.5000
Cd1 0.5000 0.0000 0.5000
Cl1 0.5000 0.5000 0.0000



# LiCaEuRh | Alexandria | GGA-PBE | relaxed
# DOS(E_F) = 3.089 states/eV/atom
# E_tot = -5.61 eV/atom
# Energy of formation = -0.2292 eV/atom
data_LiCaEuRh
_cell_length_a 7.2005
_cell_length_b 7.2005
_cell_length_c 7.2005
_cell_angle_alpha 90.00
_cell_angle_beta 90.00
_cell_angle_gamma 90.00
_space_group_name_H-M_alt 'F -4 3 m'
_space_group_IT_number 216
_space_group_name_Hall 'F -4 2 3'
loop_
_atom_site_label
_atom_site_fract_x
_atom_site_fract_y
_atom_site_fract_z
Li1 0.0000 0.0000 0.0000
Ca1 0.2500 0.2500 0.7500
Eu1 0.2500 0.2500 0.2500
Rh1 0.0000 0.0000 0.5000



# VCu3Sb | Alexandria | GGA-PBE | relaxed
# Uncorrected formation energy = 1.04 eV per atom
# DOS(E_F) = 1.463 states/eV/atom
# E_tot = -4.07 eV/atom
# Energy above the most stable polymorph in this dataset = 0.0000 eV per atom
data_VCu3Sb
_cell_length_a 4.7631
_cell_length_b 4.7631
_cell_length_c 4.7631
_cell_angle_alpha 90.00
_cell_angle_beta 90.00
_cell_angle_gamma 90.00
_space_group_name_H-M_alt 'P m -3 m'
_space_group_IT_number 221
_space_group_name_Hall '-P 4 2 3'
loop_
_atom_site_label
_atom_site_fract_x
_atom_site_fract_y
_atom_site_fract_z
V1 0.0000 0.0000 0.0000
Cu1 0.0000 0.5000 0.5000
Sb1 0.5000 0.5000 0.5000



# LiAl3Ga | Alexandria | GGA-PBE | relaxed
# DOS(E_F) = 0.312 states/eV/atom
# E_tot = -2.77 eV/atom
# Energy of formation = 0.4659 eV/atom
# Energy above the most stable polymorph in this dataset = 0.4941 eV per atom
data_LiAl3Ga
_cell_length_a 4.5546
_cell_length_b 4.5546
_cell_length_c 4.5546
_cell_angle_alpha 90.00
_cell_angle_beta 90.00
_cell_angle_gamma 90.00
_space_group_name_H-M_alt 'P m -3 m'
_space_group_IT_number 221
_space_group_name_Hall '-P 4 2 3'
loop_
_atom_site_label
_atom_site_fract_x
_atom_site_fract_y
_atom_site_fract_z
Li1 0.0000 0.0000 0.0000
Al1 0.0000 0.0000 0.5000
Ga1 0.5000 0.5000 0.5000



# CsLi2Te2 | Alexandria | GGA-PBE | relaxed
# Uncorrected formation energy = -0.70 eV per atom
# DOS(E_F) = 0.114 states/eV/atom
# E_tot = -2.90 eV/atom
# Energy above the most stable polymorph in this dataset = 0.2267 eV per atom
data_CsLi2Te2
_cell_length_a 9.6093
_cell_length_b 9.6093
_cell_length_c 3.5380
_cell_angle_alpha 90.00
_cell_angle_beta 90.00
_cell_angle_gamma 90.00
_space_group_name_H-M_alt 'P 4/m b m'
_space_group_IT_number 127
_space_group_name_Hall '-P 4 2ab'
loop_
_atom_site_label
_atom_site_fract_x
_atom_site_fract_y
_atom_site_fract_z
Cs1 0.0000 0.0000 0.0000
Li1 0.1033 0.3967 0.5000
Te1 0.1504 0.6504 0.0000



# AcHg4Pd | Alexandria | GGA-PBE | relaxed
# DOS(E_F) = 0.522 states/eV/atom
# E_tot = -1.92 eV/atom
# Energy of formation = -0.1669 eV/atom
# Energy above the most stable polymorph in this dataset = 0.1916 eV per atom
data_AcHg4Pd
_cell_length_a 8.4393
_cell_length_b 8.4393
_cell_length_c 8.4393
_cell_angle_alpha 90.00
_cell_angle_beta 90.00
_cell_angle_gamma 90.00
_space_group_name_H-M_alt 'F -4 3 m'
_space_group_IT_number 216
_space_group_name_Hall 'F -4 2 3'
loop_
_atom_site_label
_atom_site_fract_x
_atom_site_fract_y
_atom_site_fract_z
Ac1 0.0000 0.0000 0.0000
Hg1 0.1240 0.1240 0.6240
Pd1 0.2500 0.2500 0.2500



# ClF3 | Alexandria | GGA-PBE | relaxed
# Uncorrected formation energy = 0.25 eV per atom
# DOS(E_F) = 1.723 states/eV/atom
# E_tot = -1.62 eV/atom
data_ClF3
_cell_length_a 4.2196
_cell_length_b 4.2196
_cell_length_c 13.3140
_cell_angle_alpha 90.00
_cell_angle_beta 90.00
_cell_angle_gamma 90.00
_space_group_name_H-M_alt 'I -4 2 d'
_space_group_IT_number 122
_space_group_name_Hall 'I -4 2bw'
loop_
_atom_site_label
_atom_site_fract_x
_atom_site_fract_y
_atom_site_fract_z
Cl1 0.0000 0.0000 0.0000
F1 0.0000 0.0000 0.5000
F2 0.1339 0.2500 0.1250



# CaIn2Ir2 | Alexandria | GGA-PBE | relaxed
# DOS(E_F) = 0.322 states/eV/atom
# E_tot = -5.31 eV/atom
# Energy of formation = -0.2729 eV/atom
data_CaIn2Ir2
_cell_length_a 7.9058
_cell_length_b 7.9058
_cell_length_c 3.1399
_cell_angle_alpha 90.00
_cell_angle_beta 90.00
_cell_angle_gamma 90.00
_space_group_name_H-M_alt 'P 4/m b m'
_space_group_IT_number 127
_space_group_name_Hall '-P 4 2ab'
loop_
_atom_site_label
_atom_site_fract_x
_atom_site_fract_y
_atom_site_fract_z
Ca1 0.0000 0.0000 0.0000
In1 0.1506 0.3494 0.5000
Ir1 0.1453 0.6453 0.0000



# YPuFe10 | Alexandria | GGA-PBE | relaxed
# DOS(E_F) = 1.549 states/eV/atom
# E_tot = -8.67 eV/atom
# Energy of formation = 0.1141 eV/atom
data_YPuFe10
_cell_length_a 3.9199
_cell_length_b 4.8490
_cell_length_c 8.8058
_cell_angle_alpha 90.00
_cell_angle_beta 90.00
_cell_angle_gamma 90.00
_space_group_name_H-M_alt 'P m m m'
_space_group_IT_number 47
loop_
_space_group_symop_operation_xyz
'x,y,z'
'-x,-y,-z'
'-x,-y,z'
'x,y,-z'
'x,-y,-z'
'-x,y,z'
'-x,y,-z'
'x,-y,z'
loop_
_atom_site_label
_atom_site_fract_x
_atom_site_fract_y
_atom_site_fract_z
Y1 0.0000 0.0000 0.0000
Pu1 0.0000 0.5000 0.5000
Fe1 0.0000 0.0000 0.3222
Fe2 0.0000 0.5000 0.1773
Fe3 0.5000 0.0000 0.5000
Fe4 0.5000 0.2507 0.2486
Fe5 0.5000 0.5000 0.0000



# Na2HN | Alexandria | GGA-PBE | relaxed
# DOS(E_F) = 0.686 states/eV/atom
# E_tot = -2.93 eV/atom
data_Na2HN
_cell_length_a 5.9797
_cell_length_b 5.9797
_cell_length_c 5.9797
_cell_angle_alpha 90.00
_cell_angle_beta 90.00
_cell_angle_gamma 90.00
_space_group_name_H-M_alt 'F m -3 m'
_space_group_IT_number 225
_space_group_name_Hall '-F 4 2 3'
loop_
_atom_site_label
_atom_site_fract_x
_atom_site_fract_y
_atom_site_fract_z
Na1 0.2500 0.2500 0.2500
H1 0.0000 0.0000 0.0000
N1 0.0000 0.0000 0.5000



# Pm2ScTi | Alexandria | GGA-PBE | relaxed
# DOS(E_F) = 1.205 states/eV/atom
# E_tot = -5.72 eV/atom
# Energy of formation = 0.2105 eV/atom
# Energy above the most stable polymorph in this dataset = 0.0007 eV per atom
data_Pm2ScTi
_cell_length_a 4.8671
_cell_length_b 4.8671
_cell_length_c 4.5162
_cell_angle_alpha 90.00
_cell_angle_beta 90.00
_cell_angle_gamma 90.00
_space_group_name_H-M_alt 'P 4/m m m'
_space_group_IT_number 123
_space_group_name_Hall '-P 4 2'
loop_
_atom_site_label
_atom_site_fract_x
_atom_site_fract_y
_atom_site_fract_z
Pm1 0.0000 0.5000 0.0000
Sc1 0.0000 0.0000 0.5000
Ti1 0.5000 0.5000 0.5000



# Sr2ZrSb2 | Alexandria | GGA-PBE | relaxed
# Uncorrected formation energy = -0.67 eV per atom
# DOS(E_F) = 0.220 states/eV/atom
# E_tot = -4.70 eV/atom
data_Sr2ZrSb2
_cell_length_a 8.0424
_cell_length_b 8.0424
_cell_length_c 4.8332
_cell_angle_alpha 90.00
_cell_angle_beta 90.00
_cell_angle_gamma 90.00
_space_group_name_H-M_alt 'P 4/m b m'
_space_group_IT_number 127
_space_group_name_Hall '-P 4 2ab'
loop_
_atom_site_label
_atom_site_fract_x
_atom_site_fract_y
_atom_site_fract_z
Sr1 0.1565 0.3435 0.0000
Zr1 0.0000 0.0000 0.5000
Sb1 0.1560 0.6560 0.5000



# Sm2Dy6Ho3Th | Alexandria | GGA-PBE | relaxed
# DOS(E_F) = 1.307 states/eV/atom
# E_tot = -4.82 eV/atom
# Energy of formation = 0.0279 eV/atom
data_Sm2Dy6Ho3Th
_cell_length_a 6.1685
_cell_length_b 10.6706
_cell_length_c 11.7748
_cell_angle_alpha 90.00
_cell_angle_beta 100.03
_cell_angle_gamma 90.00
_space_group_name_H-M_alt 'C 1 2/m 1'
_space_group_IT_number 12
loop_
_space_group_symop_operation_xyz
'x,y,z'
'-x,-y,-z'
'-x,y,-z'
'x,-y,z'
'x+1/2,y+1/2,z'
'-x+1/2,-y+1/2,-z'
'-x+1/2,y+1/2,-z'
'x+1/2,-y+1/2,z'
loop_
_atom_site_label
_atom_site_fract_x
_atom_site_fract_y
_atom_site_fract_z
Sm1 0.0000 0.1666 0.0000
Dy1 0.2451 0.5000 0.7488
Dy2 0.2494 0.3351 0.2511
Ho1 0.0000 0.0000 0.5000
Ho2 0.0000 0.3329 0.5000
Th1 0.0000 0.5000 0.0000



# ZrGeP2Ru | Alexandria | GGA-PBE | relaxed
# DOS(E_F) = 1.454 states/eV/atom
# E_tot = -6.22 eV/atom
# Energy of formation = 0.4341 eV/atom
data_ZrGeP2Ru
_cell_length_a 4.4797
_cell_length_b 4.4797
_cell_length_c 5.2236
_cell_angle_alpha 90.00
_cell_angle_beta 90.00
_cell_angle_gamma 90.00
_space_group_name_H-M_alt 'P 4/m m m'
_space_group_IT_number 123
_space_group_name_Hall '-P 4 2'
loop_
_atom_site_label
_atom_site_fract_x
_atom_site_fract_y
_atom_site_fract_z
Zr1 0.0000 0.0000 0.0000
Ge1 0.5000 0.5000 0.0000
P1 0.0000 0.5000 0.5000
Ru1 0.5000 0.5000 0.5000



# CsAcAlTe4 | Alexandria | GGA-PBE | relaxed
# Uncorrected formation energy = -1.05 eV per atom
# DOS(E_F) = 0.243 states/eV/atom
# E_tot = -4.08 eV/atom
data_CsAcAlTe4
_cell_length_a 8.0704
_cell_length_b 6.7400
_cell_length_c 10.9783
_cell_angle_alpha 90.00
_cell_angle_beta 105.32
_cell_angle_gamma 90.00
_space_group_name_H-M_alt 'P 1 21/m 1'
_space_group_IT_number 11
loop_
_space_group_symop_operation_xyz
'x,y,z'
'-x,-y,-z'
'-x,y+1/2,-z'
'x,-y+1/2,z'
loop_
_atom_site_label
_atom_site_fract_x
_atom_site_fract_y
_atom_site_fract_z
Cs1 0.2483 0.2500 0.4502
Ac1 0.2485 0.2500 0.9491
Al1 0.2439 0.7500 0.1703
Te1 0.0537 0.7500 0.3244
Te2 0.0959 0.7500 0.9272
Te3 0.4947 0.5088 0.7864



# ZrTlPb | Alexandria | GGA-PBE | relaxed
# DOS(E_F) = 0.962 states/eV/atom
# E_tot = -4.56 eV/atom
# Energy of formation = 0.3149 eV/atom
# Energy above the most stable polymorph in this dataset = 0.2296 eV per atom
data_ZrTlPb
_cell_length_a 7.0910
_cell_length_b 7.0910
_cell_length_c 7.0910
_cell_angle_alpha 90.00
_cell_angle_beta 90.00
_cell_angle_gamma 90.00
_space_group_name_H-M_alt 'F -4 3 m'
_space_group_IT_number 216
_space_group_name_Hall 'F -4 2 3'
loop_
_atom_site_label
_atom_site_fract_x
_atom_site_fract_y
_atom_site_fract_z
Zr1 0.0000 0.0000 0.0000
Tl1 0.2500 0.2500 0.2500
Pb1 0.2500 0.2500 0.7500



# TeP2HPb | Alexandria | GGA-PBE | relaxed
# DOS(E_F) = 0.481 states/eV/atom
# E_tot = -3.45 eV/atom
# Energy above the most stable polymorph in this dataset = 0.0000 eV per atom
data_TeP2HPb
_cell_length_a 4.3651
_cell_length_b 4.3651
_cell_length_c 4.9917
_cell_angle_alpha 90.00
_cell_angle_beta 90.00
_cell_angle_gamma 90.00
_space_group_name_H-M_alt 'P 4/m m m'
_space_group_IT_number 123
_space_group_name_Hall '-P 4 2'
loop_
_atom_site_label
_atom_site_fract_x
_atom_site_fract_y
_atom_site_fract_z
Te1 0.0000 0.0000 0.0000
P1 0.0000 0.5000 0.5000
H1 0.0000 0.0000 0.5000
Pb1 0.5000 0.5000 0.0000



# PrCd11Pb | Alexandria | GGA-PBE | relaxed
# DOS(E_F) = 0.344 states/eV/atom
# E_tot = -1.49 eV/atom
# Energy of formation = -0.0664 eV/atom
data_PrCd11Pb
_cell_length_a 6.4354
_cell_length_b 14.1396
_cell_length_c 7.6577
_cell_angle_alpha 90.00
_cell_angle_beta 114.30
_cell_angle_gamma 90.00
_space_group_name_H-M_alt 'C 1 2/m 1'
_space_group_IT_number 12
loop_
_space_group_symop_operation_xyz
'x,y,z'
'-x,-y,-z'
'-x,y,-z'
'x,-y,z'
'x+1/2,y+1/2,z'
'-x+1/2,-y+1/2,-z'
'-x+1/2,y+1/2,-z'
'x+1/2,-y+1/2,z'
loop_
_atom_site_label
_atom_site_fract_x
_atom_site_fract_y
_atom_site_fract_z
Pr1 0.0000 0.0000 0.0000
Cd1 0.0000 0.5000 0.5000
Cd2 0.0841 0.3919 0.2091
Cd3 0.1904 0.1787 0.3485
Cd4 0.2500 0.2500 0.0000
Pb1 0.0000 0.0000 0.5000